(1)
DFT (GGA-PBE) results for a relaxed Er4Ge2AsSe crystal.

abc: 6.985 4.033 7.266
angles: 90.00 108.73 90.00
Sites, in units of the cell vectors:
Er1 0.244 0.000 0.246
Er2 0.245 0.500 0.748
Er3 0.755 0.500 0.252
Er4 0.756 0.000 0.754
Ge1 0.000 0.500 0.000
Ge2 0.500 0.000 0.000
As1 0.000 0.000 0.500
Se1 0.500 0.500 0.500

Output
Total DFT energy (no corrections) (eV/cell): -45.44
Energy relative to the elements, uncorrected (eV/atom): -1.228



(2)
DFT (GGA-PBE) results for a relaxed Er4GeAs2Se crystal.

abc: 7.083 4.066 7.091
angles: 90.00 109.24 90.00
Sites, in units of the cell vectors:
Er1 0.244 0.000 0.241
Er2 0.248 0.500 0.753
Er3 0.752 0.500 0.247
Er4 0.756 0.000 0.759
Ge1 0.500 0.000 0.000
As1 0.000 0.000 0.500
As2 0.000 0.500 0.000
Se1 0.500 0.500 0.500

Output
Total DFT energy (no corrections) (eV/cell): -47.20
Energy relative to the elements, uncorrected (eV/atom): -1.444



(3)
DFT (GGA-PBE) results for a relaxed Er6Ge2AsSe3 crystal.

abc: 9.143 9.143 8.189
angles: 102.94 102.94 25.84
Sites, in units of the cell vectors:
Er1 0.004 0.004 0.245
Er2 0.330 0.330 0.425
Er3 0.335 0.335 0.907
Er4 0.665 0.665 0.093
Er5 0.670 0.670 0.575
Er6 0.996 0.996 0.755
Ge1 0.167 0.167 0.333
Ge2 0.833 0.833 0.667
As1 0.500 0.500 0.000
Se1 0.165 0.165 0.834
Se2 0.500 0.500 0.500
Se3 0.835 0.835 0.166

Output
Total DFT energy (no corrections) (eV/cell): -69.55
Energy relative to the elements, uncorrected (eV/atom): -1.486



(4)
DFT (GGA-PBE) results for a relaxed Er6Ge2As3Se crystal.

abc: 9.164 9.164 8.266
angles: 103.06 103.06 25.43
Sites, in units of the cell vectors:
Er1 0.001 0.001 0.257
Er2 0.332 0.332 0.917
Er3 0.334 0.334 0.414
Er4 0.666 0.666 0.586
Er5 0.668 0.668 0.083
Er6 0.999 0.999 0.743
Ge1 0.166 0.166 0.332
Ge2 0.834 0.834 0.668
As1 0.164 0.164 0.834
As2 0.500 0.500 0.500
As3 0.836 0.836 0.166
Se1 0.500 0.500 0.000

Output
Total DFT energy (no corrections) (eV/cell): -69.92
Energy relative to the elements, uncorrected (eV/atom): -1.323



(5)
DFT (GGA-PBE) results for a relaxed Er8Ge3Te3As crystal.

abc: 8.438 8.438 8.438
angles: 59.25 59.25 59.25
Sites, in units of the cell vectors:
Er1 0.234 0.744 0.744
Er2 0.240 0.240 0.240
Er3 0.256 0.256 0.766
Er4 0.256 0.766 0.256
Er5 0.744 0.234 0.744
Er6 0.744 0.744 0.234
Er7 0.760 0.760 0.760
Er8 0.766 0.256 0.256
Ge1 0.000 0.000 0.500
Ge2 0.000 0.500 0.000
Ge3 0.500 0.000 0.000
Te1 0.000 0.500 0.500
Te2 0.500 0.000 0.500
Te3 0.500 0.500 0.000
As1 0.500 0.500 0.500

Output
Total DFT energy (no corrections) (eV/cell): -80.60
Energy relative to the elements, uncorrected (eV/atom): -1.078



(6)
DFT (GGA-PBE) results for a relaxed Er6Ge2Te3As crystal.

abc: 9.492 9.492 8.524
angles: 104.06 104.06 25.55
Sites, in units of the cell vectors:
Er1 0.009 0.009 0.235
Er2 0.326 0.326 0.435
Er3 0.339 0.339 0.897
Er4 0.661 0.661 0.103
Er5 0.674 0.674 0.565
Er6 0.991 0.991 0.765
Ge1 0.166 0.166 0.332
Ge2 0.834 0.834 0.668
Te1 0.165 0.165 0.834
Te2 0.500 0.500 0.500
Te3 0.835 0.835 0.166
As1 0.500 0.500 0.000

Output
Total DFT energy (no corrections) (eV/cell): -65.97
Energy relative to the elements, uncorrected (eV/atom): -1.274



(7)
DFT (GGA-PBE) results for a relaxed Er8GeTe3As3 crystal.

abc: 8.425 8.425 8.425
angles: 58.93 58.93 58.93
Sites, in units of the cell vectors:
Er1 0.239 0.239 0.239
Er2 0.240 0.741 0.741
Er3 0.259 0.259 0.760
Er4 0.259 0.760 0.259
Er5 0.741 0.240 0.741
Er6 0.741 0.741 0.240
Er7 0.760 0.259 0.259
Er8 0.761 0.761 0.761
Ge1 0.500 0.500 0.500
Te1 0.000 0.500 0.500
Te2 0.500 0.000 0.500
Te3 0.500 0.500 0.000
As1 0.000 0.000 0.500
As2 0.000 0.500 0.000
As3 0.500 0.000 0.000

Output
Total DFT energy (no corrections) (eV/cell): -83.06
Energy relative to the elements, uncorrected (eV/atom): -1.238



(8)
DFT (GGA-PBE) results for a relaxed ErThGeAs crystal.

abc: 7.208 7.208 7.208
angles: 34.04 34.04 34.04
Sites, in units of the cell vectors:
Er1 0.000 0.000 0.000
Th1 0.502 0.502 0.502
Ge1 0.253 0.253 0.253
As1 0.747 0.747 0.747

Output
Total DFT energy (no corrections) (eV/cell): -25.71
DFT formation energy (eV per atom): -1.11